(1)
Mo3C4 | GGA-PBE | relaxed

a = 4.6810 Å, b = 4.6810 Å, c = 4.6810 Å
α = 90.00°, β = 90.00°, γ = 90.00°
With the nearest neighbours (Å) after each atom.
Space group P-43m (No. 215)
One atom of each set of equivalent atoms:
Mo  0.0000  0.0000  0.5000 (multiplicity 3)  4 C 1.99
C  0.2368  0.2368  0.2368 (multiplicity 4)  3 Mo 1.99

Values from the calculation:
* Fermi-level density of states: 6.59 states/eV per cell
* calculated volume: 102.6 Å³ per cell
* DFT formation energy: 0.98 eV/atom
* VASP energy: -8.933 eV/atom
* ΔE to the lowest computed polymorph: 378.1 meV per atom

(2)
CeNd2Au | GGA-PBE | relaxed

a = 3.7346 Å, b = 3.7346 Å, c = 30.9365 Å
α = 90.00°, β = 90.00°, γ = 120.00°
With the nearest neighbours (Å) after each atom.
Space group R3m (No. 160, hexagonal axes)
One atom of each set of equivalent atoms:
Ce  0.0000  0.0000  0.0000 (multiplicity 3)  6 Nd 3.63-3.66, 6 Ce 3.73
Nd  0.0000  0.0000  0.5722 (multiplicity 3)  3 Au 3.09
Nd  0.0000  0.0000  0.7624 (multiplicity 3)  3 Au 3.09
Au  0.0000  0.0000  0.1671 (multiplicity 3)  6 Nd 3.09

Values from the calculation:
* Fermi-level density of states: 20.11 states/eV per cell
* calculated volume: 373.7 Å³ per cell
* DFT formation energy: -0.17 eV/atom
* VASP energy: -4.856 eV/atom
* ΔE to the lowest computed polymorph: 150.1 meV per atom

(3)
Si2PAuC | GGA-PBE | relaxed

a = 5.4196 Å, b = 3.1587 Å, c = 5.4744 Å
α = 90.00°, β = 109.58°, γ = 90.00°
With the nearest neighbours (Å) after each atom.
Space group Pm (No. 6)
One atom of each set of equivalent atoms:
Si  0.0000  0.0000  0.0000 (multiplicity 1)  1 C 1.85
Si  0.2025  0.5000  0.6192 (multiplicity 1)  2 C 1.80
P  0.2980  0.5000  0.2482 (multiplicity 1)  3 Si 2.26-2.34
Au  0.6539  0.5000  0.0385 (multiplicity 1)  3 Si 2.51-2.74, 1 P 2.55
C  0.0904  0.0000  0.7022 (multiplicity 1)  3 Si 1.80-1.85

Values from the calculation:
* Fermi-level density of states: 0.91 states/eV per cell
* calculated volume: 88.3 Å³ per cell
* formation energy without anion corrections: 0.2366 eV/atom
* VASP energy: -5.515 eV/atom
* ΔE to the lowest computed polymorph: 34.0 meV per atom

(4)
CaIn2Re | GGA-PBE | relaxed

a = 6.0768 Å, b = 9.2153 Å, c = 2.9763 Å
α = 90.00°, β = 90.61°, γ = 90.00°
With the nearest neighbours (Å) after each atom.
Space group C2/m (No. 12)
One atom of each set of equivalent atoms:
Ca  0.0000  0.0000  0.0000 (multiplicity 2)  2 Ca 2.98, 2 Re 3.04, 8 In 3.13-3.14
In  0.2500  0.2500  0.5000 (multiplicity 4)  4 In 2.98-3.04, 4 Ca 3.13-3.14, 4 Re 3.13-3.14
Re  0.0000  0.5000  0.0000 (multiplicity 2)  2 Re 2.98, 2 Ca 3.04, 8 In 3.13-3.14

Values from the calculation:
* Fermi-level density of states: 5.14 states/eV per cell
* calculated volume: 166.7 Å³ per cell
* DFT formation energy: 0.46 eV/atom
* VASP energy: -4.526 eV/atom
* ΔE to the lowest computed polymorph: 208.2 meV per atom

(5)
AlAgOs3 | GGA-PBE | relaxed

a = 4.7559 Å, b = 4.7559 Å, c = 4.7559 Å
α = 90.00°, β = 90.00°, γ = 90.00°
With the nearest neighbours (Å) after each atom.
Space group Pm-3m (No. 221)
One atom of each set of equivalent atoms:
Al  0.0000  0.0000  0.0000 (multiplicity 1)  12 Os 3.36
Ag  0.5000  0.5000  0.5000 (multiplicity 1)  6 Os 2.38
Os  0.0000  0.5000  0.5000 (multiplicity 3)  2 Ag 2.38

Values from the calculation:
* Fermi-level density of states: 7.32 states/eV per cell
* calculated volume: 107.6 Å³ per cell
* DFT formation energy: 2.95 eV/atom
* VASP energy: -5.111 eV/atom
* ΔE to the lowest computed polymorph: 1166.9 meV per atom

(6)
MgAlMo | GGA-PBE | relaxed

a = 6.2034 Å, b = 6.2034 Å, c = 6.2034 Å
α = 90.00°, β = 90.00°, γ = 90.00°
With the nearest neighbours (Å) after each atom.
Space group F-43m (No. 216)
One atom of each set of equivalent atoms:
Mg  0.0000  0.0000  0.0000 (multiplicity 4)  4 Al 2.69
Al  0.2500  0.2500  0.7500 (multiplicity 4)  4 Mo 2.69, 4 Mg 2.69
Mo  0.0000  0.0000  0.5000 (multiplicity 4)  4 Al 2.69

Values from the calculation:
* Fermi-level density of states: 11.63 states/eV per cell
* calculated volume: 238.7 Å³ per cell
* DFT formation energy: 0.65 eV/atom
* VASP energy: -4.744 eV/atom
* ΔE to the lowest computed polymorph: 554.7 meV per atom

(7)
Tl2SiBI | GGA-PBE | relaxed

a = 5.4241 Å, b = 5.4241 Å, c = 5.6644 Å
α = 90.00°, β = 90.00°, γ = 90.00°
With the nearest neighbours (Å) after each atom.
Space group P4/mmm (No. 123)
One atom of each set of equivalent atoms:
Tl  0.0000  0.5000  0.0000 (multiplicity 2)  2 Si 2.71
Si  0.0000  0.0000  0.0000 (multiplicity 1)  4 Tl 2.71, 2 I 2.83
B  0.5000  0.5000  0.5000 (multiplicity 1)  4 I 3.84, 8 Tl 3.92
I  0.0000  0.0000  0.5000 (multiplicity 1)  2 Si 2.83

Values from the calculation:
* Fermi-level density of states: 3.25 states/eV per cell
* calculated volume: 166.7 Å³ per cell
* formation energy without anion corrections: 1.2295 eV/atom
* VASP energy: -2.447 eV/atom

(8)
LiY2PPt6 | GGA-PBE | relaxed

a = 5.5666 Å, b = 8.6142 Å, c = 7.8680 Å
α = 90.00°, β = 90.00°, γ = 90.00°
With the nearest neighbours (Å) after each atom.
Space group Pmmn (No. 59, origin choice 2)
One atom of each set of equivalent atoms:
Li  0.2500  0.2500  0.2149 (multiplicity 2)  6 Pt 2.44-2.53
Y  0.2500  0.5239  0.7734 (multiplicity 4)  9 Pt 3.05-3.23, 2 Li 3.40
P  0.2500  0.7500  0.2685 (multiplicity 2)  6 Pt 2.28-2.41
Pt  0.0046  0.2500  0.4834 (multiplicity 4)  1 P 2.41, 1 Li 2.52, 2 Pt 2.68
Pt  0.0097  0.2500  0.9556 (multiplicity 4)  1 P 2.28, 1 Li 2.44
Pt  0.2500  0.5007  0.3814 (multiplicity 4)  1 P 2.32, 1 Li 2.53

Values from the calculation:
* Fermi-level density of states: 6.72 states/eV per cell
* calculated volume: 377.3 Å³ per cell
* DFT formation energy: -0.84 eV/atom
* VASP energy: -6.492 eV/atom

(9)
Cs2B2S3O13 | GGA-PBE | relaxed

a = 15.2255 Å, b = 6.8335 Å, c = 12.6792 Å
α = 90.00°, β = 104.54°, γ = 90.00°
With the nearest neighbours (Å) after each atom.
Space group P2_1/c (No. 14)
One atom of each set of equivalent atoms:
Cs  0.0108  0.2253  0.1348 (multiplicity 4)  6 O 3.08-3.37
Cs  0.3824  0.1724  0.2304 (multiplicity 4)  9 O 3.17-3.55
B  0.2502  0.6307  0.9739 (multiplicity 4)  4 O 1.41-1.52
B  0.2567  0.5538  0.3720 (multiplicity 4)  4 O 1.41-1.53
S  0.1771  0.2466  0.4477 (multiplicity 4)  4 O 1.44-1.55
S  0.1931  0.6860  0.1608 (multiplicity 4)  4 O 1.44-1.56
S  0.4113  0.7498  0.4558 (multiplicity 4)  4 O 1.44-1.57
O  0.0910  0.1879  0.8792 (multiplicity 4)  1 S 1.45
O  0.1010  0.6604  0.0950 (multiplicity 4)  1 S 1.45
O  0.1859  0.0286  0.4185 (multiplicity 4)  1 B 1.51, 1 S 1.55
O  0.1897  0.2286  0.0636 (multiplicity 4)  1 S 1.44
O  0.2079  0.5286  0.2520 (multiplicity 4)  1 B 1.53, 1 S 1.55
O  0.2151  0.6878  0.4286 (multiplicity 4)  2 B 1.41
O  0.2176  0.6227  0.7066 (multiplicity 4)  1 S 1.44
O  0.2576  0.1558  0.9128 (multiplicity 4)  1 B 1.52, 1 S 1.55
O  0.2628  0.6203  0.0967 (multiplicity 4)  1 B 1.52, 1 S 1.56
O  0.3414  0.5825  0.9570 (multiplicity 4)  1 B 1.49, 1 S 1.57
O  0.3535  0.5961  0.3757 (multiplicity 4)  1 B 1.49, 1 S 1.57
O  0.4435  0.6664  0.5631 (multiplicity 4)  1 S 1.44
O  0.4769  0.6731  0.9024 (multiplicity 4)  1 S 1.44

Values from the calculation:
* Fermi-level density of states: 0.00 states/eV per cell
* calculated volume: 1276.9 Å³ per cell
* formation energy without anion corrections: -1.7717 eV/atom
* VASP energy: -6.367 eV/atom

(10)
V4Fe2Ru | GGA-PBE | relaxed

a = 4.6008 Å, b = 4.6008 Å, c = 9.2778 Å
α = 90.00°, β = 90.00°, γ = 90.00°
With the nearest neighbours (Å) after each atom.
Space group I4/mmm (No. 139)
One atom of each set of equivalent atoms:
V  0.0000  0.5000  0.0000 (multiplicity 4)  2 Ru 2.30, 2 V 2.32
V  0.0000  0.5000  0.2500 (multiplicity 4)  2 V 2.32, 4 Fe 2.53
Fe  0.0000  0.0000  0.1366 (multiplicity 4)  8 V 2.53-2.63, 1 Fe 2.54
Ru  0.0000  0.0000  0.5000 (multiplicity 2)  4 V 2.30

Values from the calculation:
* Fermi-level density of states: 16.95 states/eV per cell
* calculated volume: 196.4 Å³ per cell
* DFT formation energy: 0.53 eV/atom
* VASP energy: -8.425 eV/atom
* ΔE to the lowest computed polymorph: 0.0 meV per atom

(11)
Ga12Bi3Au5 | GGA-PBE | relaxed

a = 16.1226 Å, b = 16.1226 Å, c = 16.1226 Å
α = 90.00°, β = 90.00°, γ = 90.00°
With the nearest neighbours (Å) after each atom.
Space group Ia-3d (No. 230)
One atom of each set of equivalent atoms:
Ga  0.0248  0.0646  0.6466 (multiplicity 96)  2 Au 2.54-2.61
Bi  0.0000  0.2500  0.1250 (multiplicity 24)  8 Ga 3.04-3.11
Au  0.0000  0.0000  0.0000 (multiplicity 16)  6 Ga 2.61
Au  0.0000  0.2500  0.3750 (multiplicity 24)  4 Ga 2.54

Values from the calculation:
* Fermi-level density of states: 87.50 states/eV per cell
* calculated volume: 4190.9 Å³ per cell
* DFT formation energy: 0.02 eV/atom
* VASP energy: -3.198 eV/atom

(12)
K2PbI2Br2 | GGA-PBE | relaxed

a = 4.6668 Å, b = 8.5876 Å, c = 8.7442 Å
α = 115.94°, β = 105.45°, γ = 90.14°
With the nearest neighbours (Å) after each atom.
Space group P-1 (No. 2)
One atom of each set of equivalent atoms:
K  0.1571  0.1027  0.3153 (multiplicity 2)  3 Br 3.22-3.33
Pb  0.0000  0.5000  0.0000 (multiplicity 1)  2 Br 3.01, 4 I 3.30
I  0.4742  0.7434  0.9460 (multiplicity 2)  2 Pb 3.30
Br  0.1951  0.7537  0.3899 (multiplicity 2)  1 Pb 3.01, 3 K 3.22-3.33

Values from the calculation:
* Fermi-level density of states: 0.00 states/eV per cell
* calculated volume: 300.9 Å³ per cell
* formation energy without anion corrections: -1.2408 eV/atom
* VASP energy: -3.005 eV/atom